## PmSi4Ni6 (PBE)

Data for a relaxed structure of PmSi4Ni6.

The structure in extended XYZ format:
```
11
Lattice="6.627 0.000 0.000 -3.314 5.740 0.000 0.000 0.000 3.733" Properties=species:S:1:pos:R:3 pbc="T T T"
Pm 0.000 0.000 0.000
Si 0.000 3.826 0.000
Si 1.974 1.140 1.867
Si 4.654 1.140 1.867
Si 3.314 3.460 1.867
Ni 0.000 2.358 1.867
Ni -1.272 4.561 1.867
Ni 3.314 0.405 0.000
Ni 2.008 2.667 0.000
Ni 1.272 4.561 1.867
Ni 4.620 2.667 0.000
```

Output
Space group: P-6m2
Mass density in kg/m3: 7127
Total magnetic moment in Bohr magnetons per cell: 0.0
Crystal system: hexagonal
Energy in eV/atom: -6.113